(1)
VASP calculation (PBE-GGA) on a geometry-optimized SmAgTe2PbS structure.

abc: 4.3832 14.6342 10.5653
angles: 90.00 90.00 90.00
Last column: nearest neighbours and their distance in Å.
Space group Cmcm (No. 63)
Inequivalent atoms, fractional coordinates:
Sm: 0.0000 0.0000 0.0000 x4  2 S 2.87, 4 Te 3.17
Ag: 0.0000 0.4818 0.2500 x4  2 S 2.60, 2 Te 2.81
Te: 0.0000 0.3491 0.0576 x8  1 Ag 2.81
Pb: 0.0000 0.2686 0.7500 x4  2 S 3.14, 6 Te 3.45-3.46
S: 0.0000 0.0776 0.2500 x4  2 Ag 2.60, 2 Sm 2.87

***

(2)
VASP calculation (PBE-GGA) on a geometry-optimized RbTbTh structure.

abc: 8.4387 8.4387 8.4387
angles: 90.00 90.00 90.00
Last column: nearest neighbours and their distance in Å.
Space group F-43m (No. 216)
Inequivalent atoms, fractional coordinates:
Rb: 0.0000 0.0000 0.0000 x4  4 Th 3.65
Tb: 0.0000 0.0000 0.5000 x4  4 Th 3.65
Th: 0.2500 0.2500 0.2500 x4  4 Tb 3.65, 4 Rb 3.65

***

(3)
VASP calculation (PBE-GGA) on a geometry-optimized BeNiIr structure.

abc: 5.2249 5.2249 5.2249
angles: 90.00 90.00 90.00
Last column: nearest neighbours and their distance in Å.
Space group F-43m (No. 216)
Inequivalent atoms, fractional coordinates:
Be: 0.0000 0.0000 0.0000 x4  4 Ni 2.26, 4 Ir 2.26
Ni: 0.2500 0.2500 0.2500 x4  4 Be 2.26
Ir: 0.2500 0.2500 0.7500 x4  4 Be 2.26

***

(4)
VASP calculation (PBE-GGA) on a geometry-optimized MoAs2 structure.

abc: 7.4884 7.4884 7.4884
angles: 90.00 90.00 90.00
Last column: nearest neighbours and their distance in Å.
Space group Fd-3m (No. 227, origin choice 2)
Inequivalent atoms, fractional coordinates:
Mo: 0.1250 0.1250 0.1250 x8  12 As 3.10, 4 Mo 3.24
As: 0.0000 0.0000 0.5000 x16  6 As 2.65

***

(5)
VASP calculation (PBE-GGA) on a geometry-optimized CuBiTe3Pd structure.

abc: 5.3522 8.6126 14.4690
angles: 90.00 90.00 90.00
Last column: nearest neighbours and their distance in Å.
Space group P2_12_12_1 (No. 19)
Inequivalent atoms, fractional coordinates:
Cu: 0.0358 0.1078 0.4428 x4  4 Te 2.55-2.58
Bi: 0.1277 0.1209 0.1408 x4  4 Te 3.02-3.36, 1 Pd 3.26
Te: 0.2318 0.1456 0.9122 x4  1 Cu 2.55, 1 Pd 2.68
Te: 0.2424 0.6321 0.9128 x4  2 Cu 2.57, 1 Pd 2.67
Te: 0.2484 0.6140 0.2011 x4  1 Cu 2.58, 2 Pd 2.63-2.64
Pd: 0.0079 0.6385 0.7501 x4  4 Te 2.63-2.68

***

(6)
VASP calculation (PBE-GGA) on a geometry-optimized CuSnOsAu structure.

abc: 6.4215 6.4215 6.4215
angles: 90.00 90.00 90.00
Last column: nearest neighbours and their distance in Å.
Space group F-43m (No. 216)
Inequivalent atoms, fractional coordinates:
Cu: 0.0000 0.0000 0.0000 x4  4 Sn 2.78, 4 Au 2.78
Sn: 0.2500 0.2500 0.7500 x4  4 Os 2.78, 4 Cu 2.78
Os: 0.0000 0.0000 0.5000 x4  4 Sn 2.78, 4 Au 2.78
Au: 0.2500 0.2500 0.2500 x4  4 Os 2.78, 4 Cu 2.78

***

Which DFT total energy belongs to each record? In order, -4.431 -2.811 -6.110 -5.762 -3.940 -5.189 eV per atom.